DFT (PBE) results for a geometry-optimized NaAuI structure.

Lattice parameters (Å, degrees): 4.085 8.048 11.268 69.02 90.00 90.00
Sites, in units of the cell vectors:
Na 0.250 0.502 0.754
Na 0.750 0.998 0.246
Na 0.750 0.498 0.246
Na 0.250 0.002 0.754
Au 0.250 0.857 0.037
Au 0.750 0.643 0.963
Au 0.750 0.143 0.963
Au 0.250 0.357 0.037
I 0.250 0.705 0.332
I 0.750 0.795 0.668
I 0.750 0.295 0.668
I 0.250 0.205 0.332

Calculated values
For the energy relative to the elements, uncorrected, the calculation gives -0.5180 eV per atom. Its space group is P2_1/m. The value obtained for the total energy is -2.57 eV/atom. The calculation puts the magnetization at 0.00 μB/cell.

---

DFT (PBE) results for a geometry-optimized Na12Au3I5 structure.

Lattice parameters (Å, degrees): 15.722 15.722 15.722 109.47 109.47 109.47
Sites, in units of the cell vectors:
Au 0.750 0.375 0.125
Au 0.875 0.750 0.125
Au 0.375 0.750 0.625
Au 0.250 0.125 0.375
Au 0.875 0.125 0.250
Au 0.375 0.625 0.250
Au 0.625 0.375 0.750
Au 0.125 0.875 0.750
Au 0.750 0.875 0.625
Au 0.625 0.250 0.375
Au 0.125 0.250 0.875
Au 0.250 0.625 0.875
I 0.125 0.375 0.250
I 0.000 0.500 0.000
I 0.000 0.000 0.000
I 0.375 0.250 0.125
I 0.500 0.000 0.500
I 0.500 0.500 0.000
I 0.125 0.750 0.375
I 0.750 0.125 0.875
I 0.750 0.625 0.375
I 0.375 0.125 0.750
I 0.625 0.875 0.250
I 0.500 0.500 0.500
I 0.500 0.000 0.000
I 0.000 0.000 0.500
I 0.250 0.375 0.625
I 0.250 0.875 0.125
I 0.000 0.500 0.500
I 0.875 0.250 0.625
I 0.625 0.750 0.875
I 0.875 0.625 0.750
Na 0.731 0.150 0.069
Na 0.338 0.569 0.420
Na 0.931 0.350 0.269
Na 0.569 0.231 0.150
Na 0.582 0.731 0.662
Na 0.931 0.580 0.162
Na 0.338 0.769 0.418
Na 0.080 0.918 0.150
Na 0.580 0.931 0.662
Na 0.731 0.582 0.162
Na 0.769 0.431 0.350
Na 0.838 0.920 0.069
Na 0.150 0.731 0.569
Na 0.350 0.420 0.082
Na 0.082 0.920 0.350
Na 0.418 0.150 0.580
Na 0.082 0.162 0.231
Na 0.431 0.662 0.080
Na 0.838 0.918 0.269
Na 0.150 0.418 0.080
Na 0.350 0.931 0.769
Na 0.580 0.650 0.418
Na 0.920 0.838 0.569
Na 0.769 0.338 0.918
Na 0.420 0.350 0.582
Na 0.080 0.162 0.431
Na 0.231 0.662 0.082
Na 0.162 0.082 0.731
Na 0.650 0.069 0.231
Na 0.850 0.582 0.920
Na 0.569 0.338 0.920
Na 0.582 0.850 0.420
Na 0.918 0.838 0.769
Na 0.918 0.080 0.650
Na 0.850 0.269 0.431
Na 0.162 0.080 0.931
Na 0.650 0.580 0.918
Na 0.420 0.069 0.338
Na 0.269 0.418 0.838
Na 0.231 0.569 0.650
Na 0.920 0.082 0.850
Na 0.662 0.231 0.582
Na 0.431 0.769 0.850
Na 0.069 0.420 0.838
Na 0.418 0.269 0.338
Na 0.069 0.650 0.731
Na 0.662 0.431 0.580
Na 0.269 0.850 0.931

Calculated values
For the energy relative to the elements, uncorrected, the calculation gives -0.5917 eV per atom. Its space group is Ia-3d. The value obtained for the total energy is -2.26 eV/atom. The calculation puts the magnetization at 0.00 μB/cell.